Entry 1:
Compound: Rb2GeSe
Source: Alexandria
Functional: PBE
Structure: optimized geometry

Results
DOS at the Fermi energy (states/eV/atom): 1.421
Calculated density (Mg/m³): 2.5
Formation energy without anion corrections (meV/atom): -210.5
DFT total energy (eV per atom): -2.7197
Total magnetization (μB per atom): 0.00
Polymorph energy (0 for the lowest one) (eV/atom): 0.0000
Crystal system: tetragonal

Lattice parameters (Å, degrees): 9.4618 9.4618 9.4618 94.47 94.47 147.58
Last column: nearest neighbours and their distance in Å.
Fractional positions:
Rb (0.3750, 0.0690, 0.1940)  2 Se 3.36
Rb (0.8190, 0.6250, 0.6940)  2 Se 3.36
Rb (0.8750, 0.1810, 0.8060)  2 Se 3.36
Rb (0.9310, 0.1250, 0.3060)  2 Se 3.36
Ge (0.2500, 0.7500, 0.5000)  2 Se 2.64
Ge (0.5000, 0.5000, 0.0000)  2 Se 2.64
Se (0.0000, 0.0000, 0.0000)  2 Ge 2.64
Se (0.7500, 0.2500, 0.5000)  2 Ge 2.64

***

Entry 2:
Compound: RbGeSe2
Source: Alexandria
Functional: PBE
Structure: optimized geometry

Results
Calculated density (Mg/m³): 3.8
Formation energy without anion corrections (meV/atom): -739.1
DFT total energy (eV per atom): -3.8776
Total magnetization (μB per atom): 0.00
Crystal system: orthorhombic

Lattice parameters (Å, degrees): 9.8174 7.1670 15.7315 90.00 90.00 90.00
Last column: nearest neighbours and their distance in Å.
Fractional positions:
Rb (0.0310, 0.2500, 0.1240)  6 Se 3.56-3.75, 1 Ge 3.97
Rb (0.1766, 0.7500, 0.3214)  8 Se 3.59-3.99, 2 Ge 3.63-3.89
Rb (0.3234, 0.2500, 0.8214)  8 Se 3.59-3.99, 2 Ge 3.63-3.89
Rb (0.4690, 0.7500, 0.6240)  6 Se 3.56-3.75, 1 Ge 3.97
Rb (0.5310, 0.2500, 0.3760)  6 Se 3.56-3.75, 1 Ge 3.97
Rb (0.6766, 0.7500, 0.1786)  8 Se 3.59-3.99, 2 Ge 3.63-3.89
Rb (0.8234, 0.2500, 0.6786)  8 Se 3.59-3.99, 2 Ge 3.63-3.89
Rb (0.9690, 0.7500, 0.8760)  6 Se 3.56-3.75, 1 Ge 3.97
Ge (0.0844, 0.7500, 0.5451)  3 Se 2.53-2.54
Ge (0.2371, 0.2500, 0.5802)  4 Se 2.32-2.44
Ge (0.2629, 0.7500, 0.0802)  4 Se 2.32-2.44
Ge (0.4156, 0.2500, 0.0451)  3 Se 2.53-2.54
Ge (0.5844, 0.7500, 0.9549)  3 Se 2.53-2.54
Ge (0.7371, 0.2500, 0.9198)  4 Se 2.32-2.44
Ge (0.7629, 0.7500, 0.4198)  4 Se 2.32-2.44
Ge (0.9156, 0.2500, 0.4549)  3 Se 2.53-2.54
Se (0.0283, 0.7500, 0.0992)  1 Ge 2.32
Se (0.1345, 0.5085, 0.6579)  2 Ge 2.44-2.53
Se (0.1345, 0.9915, 0.6579)  2 Ge 2.44-2.53
Se (0.1724, 0.2500, 0.4330)  2 Ge 2.40-2.54
Se (0.3276, 0.7500, 0.9330)  2 Ge 2.40-2.54
Se (0.3655, 0.0085, 0.1579)  2 Ge 2.44-2.53
Se (0.3655, 0.4915, 0.1579)  2 Ge 2.44-2.53
Se (0.4717, 0.2500, 0.5992)  1 Ge 2.32
Se (0.5283, 0.7500, 0.4008)  1 Ge 2.32
Se (0.6345, 0.5085, 0.8421)  2 Ge 2.44-2.53
Se (0.6345, 0.9915, 0.8421)  2 Ge 2.44-2.53
Se (0.6724, 0.2500, 0.0670)  2 Ge 2.40-2.54
Se (0.8276, 0.7500, 0.5670)  2 Ge 2.40-2.54
Se (0.8655, 0.0085, 0.3421)  2 Ge 2.44-2.53
Se (0.8655, 0.4915, 0.3421)  2 Ge 2.44-2.53
Se (0.9717, 0.2500, 0.9008)  1 Ge 2.32

***

Entry 3:
Compound: Rb5Ge2Se5
Source: Alexandria
Functional: PBE
Structure: optimized geometry

Results
DOS at the Fermi energy (states/eV/atom): 0.110
Calculated density (Mg/m³): 3.8
Formation energy without anion corrections (meV/atom): -828.0
DFT total energy (eV per atom): -3.4526
Total magnetization (μB per atom): 0.00
Crystal system: monoclinic

Lattice parameters (Å, degrees): 7.8689 7.8689 12.1538 102.76 102.76 35.43
Last column: nearest neighbours and their distance in Å.
Fractional positions:
Rb (0.0000, 0.0000, 0.0000)  6 Se 3.52-3.57
Rb (0.1543, 0.1543, 0.5799)  3 Se 3.31-3.52, 1 Rb 3.57
Rb (0.2736, 0.2736, 0.8706)  5 Se 3.47-3.59, 1 Rb 3.57, 1 Ge 3.84
Rb (0.7264, 0.7264, 0.1294)  5 Se 3.47-3.59, 1 Rb 3.57, 1 Ge 3.84
Rb (0.8457, 0.8457, 0.4201)  3 Se 3.31-3.52, 1 Rb 3.57
Ge (0.4592, 0.4592, 0.6994)  4 Se 2.48-2.73
Ge (0.5408, 0.5408, 0.3006)  4 Se 2.48-2.73
Se (0.1245, 0.1245, 0.2836)  2 Ge 2.73
Se (0.3974, 0.3974, 0.1499)  1 Ge 2.48
Se (0.5000, 0.5000, 0.5000)  2 Ge 2.63
Se (0.6026, 0.6026, 0.8501)  1 Ge 2.48
Se (0.8755, 0.8755, 0.7164)  2 Ge 2.73

***

Entry 4:
Compound: Rb2GeSe
Source: Alexandria
Functional: PBE
Structure: optimized geometry

Results
DOS at the Fermi energy (states/eV/atom): 0.926
Calculated density (Mg/m³): 3.7
Formation energy without anion corrections (meV/atom): -81.9
DFT total energy (eV per atom): -2.5912
Total magnetization (μB per atom): 0.50
Polymorph energy (0 for the lowest one) (eV/atom): 0.1285
Crystal system: cubic

Lattice parameters (Å, degrees): 5.9197 5.9197 5.9197 60.00 60.00 60.00
Last column: nearest neighbours and their distance in Å.
Fractional positions:
Rb (0.2500, 0.2500, 0.2500)  4 Ge 3.63, 4 Se 3.63
Rb (0.7500, 0.7500, 0.7500)  4 Ge 3.63, 4 Se 3.63
Ge (0.0000, 0.0000, 0.0000)  8 Rb 3.63
Se (0.5000, 0.5000, 0.5000)  8 Rb 3.63

***

Entry 5:
Compound: Rb2Ge2Se5
Source: Alexandria
Functional: PBE
Structure: optimized geometry

Results
DOS at the Fermi energy (states/eV/atom): 0.269
Calculated density (Mg/m³): 3.9
Formation energy without anion corrections (meV/atom): -508.8
DFT total energy (eV per atom): -3.6857
Total magnetization (μB per atom): 0.00
Polymorph energy (0 for the lowest one) (eV/atom): 0.2061
Crystal system: monoclinic

Lattice parameters (Å, degrees): 7.0467 7.0467 9.4142 103.09 103.09 41.42
Last column: nearest neighbours and their distance in Å.
Fractional positions:
Rb (0.0897, 0.0897, 0.3427)  9 Se 3.65-4.02
Rb (0.9103, 0.9103, 0.6573)  9 Se 3.65-4.02
Ge (0.3359, 0.3359, 0.1125)  2 Se 2.32-2.55
Ge (0.6641, 0.6641, 0.8875)  2 Se 2.32-2.55
Se (0.1428, 0.1428, 0.9790)  3 Ge 2.55-2.67
Se (0.3773, 0.3773, 0.3661)  1 Ge 2.32
Se (0.5000, 0.5000, 0.0000)  2 Ge 2.63
Se (0.6227, 0.6227, 0.6339)  1 Ge 2.32
Se (0.8572, 0.8572, 0.0210)  3 Ge 2.55-2.67

***

Entry 6:
Compound: Rb3Sm3GeSe8
Source: Alexandria
Functional: PBE
Structure: optimized geometry

Results
DOS at the Fermi energy (states/eV/atom): 0.216
Calculated density (Mg/m³): 4.7
Formation energy without anion corrections (meV/atom): -1353.4
DFT total energy (eV per atom): -4.6570
Total magnetization (μB per atom): 0.00
Crystal system: trigonal

Lattice parameters (Å, degrees): 9.5448 9.5448 9.5448 52.23 52.23 52.23
Last column: nearest neighbours and their distance in Å.
Fractional positions:
Rb (0.0000, 0.5000, 0.5000)  6 Se 3.46-3.48
Rb (0.5000, 0.0000, 0.5000)  6 Se 3.46-3.48
Rb (0.5000, 0.5000, 0.0000)  6 Se 3.46-3.48
Sm (0.0000, 0.0000, 0.5000)  6 Se 2.93-2.96
Sm (0.0000, 0.5000, 0.0000)  6 Se 2.93-2.96
Sm (0.5000, 0.0000, 0.0000)  6 Se 2.93-2.96
Ge (0.5000, 0.5000, 0.5000)  6 Se 2.69
Se (0.2331, 0.2331, 0.2331)  3 Sm 2.93
Se (0.2574, 0.7138, 0.7138)  1 Ge 2.69, 2 Sm 2.96
Se (0.2862, 0.2862, 0.7426)  1 Ge 2.69, 2 Sm 2.96
Se (0.2862, 0.7426, 0.2862)  1 Ge 2.69, 2 Sm 2.96
Se (0.7138, 0.2574, 0.7138)  1 Ge 2.69, 2 Sm 2.96
Se (0.7138, 0.7138, 0.2574)  1 Ge 2.69, 2 Sm 2.96
Se (0.7426, 0.2862, 0.2862)  1 Ge 2.69, 2 Sm 2.96
Se (0.7669, 0.7669, 0.7669)  3 Sm 2.93

***

Entry 7:
Compound: RbSmGeSe4
Source: Alexandria
Functional: PBE
Structure: optimized geometry

Results
DOS at the Fermi energy (states/eV/atom): 0.000
Calculated density (Mg/m³): 4.7
Formation energy without anion corrections (meV/atom): -1151.6
DFT total energy (eV per atom): -4.6148
Total magnetization (μB per atom): 0.00
Polymorph energy (0 for the lowest one) (eV/atom): 0.0000
Crystal system: orthorhombic

Lattice parameters (Å, degrees): 6.8835 7.1092 18.1933 90.00 90.00 90.00
Last column: nearest neighbours and their distance in Å.
Fractional positions:
Rb (0.0254, 0.0019, 0.4682)  7 Se 3.48-3.89
Rb (0.4746, 0.9981, 0.9682)  7 Se 3.48-3.89
Rb (0.5254, 0.4981, 0.5318)  7 Se 3.48-3.89
Rb (0.9746, 0.5019, 0.0318)  7 Se 3.48-3.89
Sm (0.2070, 0.0211, 0.7259)  7 Se 3.00-3.11
Sm (0.2930, 0.9789, 0.2259)  7 Se 3.00-3.11
Sm (0.7070, 0.4789, 0.2741)  7 Se 3.00-3.11
Sm (0.7930, 0.5211, 0.7741)  7 Se 3.00-3.11
Ge (0.2089, 0.5139, 0.3348)  4 Se 2.36-2.39
Ge (0.2911, 0.4861, 0.8348)  4 Se 2.36-2.39
Ge (0.7089, 0.9861, 0.6652)  4 Se 2.36-2.39
Ge (0.7911, 0.0139, 0.1652)  4 Se 2.36-2.39
Se (0.0556, 0.2458, 0.8577)  1 Ge 2.39
Se (0.0625, 0.0123, 0.0863)  1 Ge 2.36
Se (0.0966, 0.7618, 0.8497)  1 Ge 2.39
Se (0.0976, 0.5855, 0.2142)  1 Ge 2.38
Se (0.4024, 0.4145, 0.7142)  1 Ge 2.38
Se (0.4034, 0.2382, 0.3497)  1 Ge 2.39
Se (0.4375, 0.9877, 0.5863)  1 Ge 2.36
Se (0.4444, 0.7542, 0.3577)  1 Ge 2.39
Se (0.5556, 0.2542, 0.1423)  1 Ge 2.39
Se (0.5625, 0.4877, 0.9137)  1 Ge 2.36
Se (0.5966, 0.7382, 0.1503)  1 Ge 2.39
Se (0.5976, 0.9145, 0.7858)  1 Ge 2.38
Se (0.9024, 0.0855, 0.2858)  1 Ge 2.38
Se (0.9034, 0.2618, 0.6503)  1 Ge 2.39
Se (0.9375, 0.5123, 0.4137)  1 Ge 2.36
Se (0.9444, 0.7458, 0.6423)  1 Ge 2.39

***

Entry 8:
Compound: RbSmGeSe4
Source: Alexandria
Functional: PBE
Structure: optimized geometry

Results
Calculated density (Mg/m³): 4.7
Formation energy without anion corrections (meV/atom): -1138.9
DFT total energy (eV per atom): -4.6021
Total magnetization (μB per atom): 0.00
Polymorph energy (0 for the lowest one) (eV/atom): 0.0126
Crystal system: monoclinic

Lattice parameters (Å, degrees): 6.8537 7.0741 9.5269 90.00 107.88 90.00
Last column: nearest neighbours and their distance in Å.
Fractional positions:
Rb (0.2459, 0.2500, 0.4396)  8 Se 3.46-3.77
Rb (0.7541, 0.7500, 0.5604)  8 Se 3.46-3.77
Sm (0.2712, 0.2500, 0.9488)  6 Se 2.96-3.04
Sm (0.7288, 0.7500, 0.0512)  6 Se 2.96-3.04
Ge (0.2795, 0.7500, 0.1704)  4 Se 2.35-2.39
Ge (0.7205, 0.2500, 0.8296)  4 Se 2.35-2.39
Se (0.0698, 0.7500, 0.9215)  1 Ge 2.37
Se (0.0776, 0.7500, 0.3303)  1 Ge 2.35
Se (0.4870, 0.5095, 0.7922)  1 Ge 2.39
Se (0.4870, 0.9905, 0.7922)  1 Ge 2.39
Se (0.5130, 0.0095, 0.2078)  1 Ge 2.39
Se (0.5130, 0.4905, 0.2078)  1 Ge 2.39
Se (0.9224, 0.2500, 0.6697)  1 Ge 2.35
Se (0.9302, 0.2500, 0.0785)  1 Ge 2.37

***

Entry 9:
Compound: RbSnGe2Se6
Source: Alexandria
Functional: PBE
Structure: optimized geometry

Results
DOS at the Fermi energy (states/eV/atom): 0.526
Calculated density (Mg/m³): 3.9
Formation energy without anion corrections (meV/atom): -333.9
DFT total energy (eV per atom): -3.8451
Total magnetization (μB per atom): 0.00
Crystal system: monoclinic

Lattice parameters (Å, degrees): 10.1143 10.1143 7.2141 101.61 101.61 95.35
Last column: nearest neighbours and their distance in Å.
Fractional positions:
Rb (0.1218, 0.8782, 0.7500)  6 Se 3.37-3.45
Rb (0.8782, 0.1218, 0.2500)  6 Se 3.37-3.45
Sn (0.2352, 0.7648, 0.2500)  4 Se 2.74-2.80
Sn (0.7648, 0.2352, 0.7500)  4 Se 2.74-2.80
Ge (0.2272, 0.3672, 0.8101)  4 Se 2.38-2.46
Ge (0.3672, 0.2272, 0.3101)  4 Se 2.38-2.46
Ge (0.6328, 0.7728, 0.6899)  4 Se 2.38-2.46
Ge (0.7728, 0.6328, 0.1899)  4 Se 2.38-2.46
Se (0.0319, 0.1958, 0.7256)  1 Ge 2.39
Se (0.1475, 0.5793, 0.9024)  1 Ge 2.38
Se (0.1958, 0.0319, 0.2256)  1 Ge 2.39
Se (0.3092, 0.4165, 0.5286)  2 Ge 2.42-2.46
Se (0.4165, 0.3092, 0.0286)  2 Ge 2.42-2.46
Se (0.4207, 0.8525, 0.5976)  1 Ge 2.38
Se (0.5793, 0.1475, 0.4024)  1 Ge 2.38
Se (0.5835, 0.6908, 0.9714)  2 Ge 2.42-2.46
Se (0.6908, 0.5835, 0.4714)  2 Ge 2.42-2.46
Se (0.8042, 0.9681, 0.7744)  1 Ge 2.39
Se (0.8525, 0.4207, 0.0976)  1 Ge 2.38
Se (0.9681, 0.8042, 0.2744)  1 Ge 2.39

***

Entry 10:
Compound: RbSnGeSe3
Source: Alexandria
Functional: PBE
Structure: optimized geometry

Results
DOS at the Fermi energy (states/eV/atom): 0.226
Calculated density (Mg/m³): 4.0
Formation energy without anion corrections (meV/atom): -563.3
DFT total energy (eV per atom): -3.9035
Total magnetization (μB per atom): 0.00
Crystal system: monoclinic

Lattice parameters (Å, degrees): 9.3355 4.7091 10.0249 90.00 102.28 90.00
Last column: nearest neighbours and their distance in Å.
Fractional positions:
Rb (0.1652, 0.2500, 0.2013)  5 Se 3.51-3.60
Rb (0.8348, 0.7500, 0.7987)  5 Se 3.51-3.60
Sn (0.3792, 0.7500, 0.8591)  3 Se 2.69-3.01
Sn (0.6208, 0.2500, 0.1409)  3 Se 2.69-3.01
Ge (0.1043, 0.2500, 0.5967)  4 Se 2.36-2.59
Ge (0.8957, 0.7500, 0.4033)  4 Se 2.36-2.59
Se (0.1330, 0.2500, 0.8366)  1 Ge 2.36
Se (0.1678, 0.7500, 0.5179)  3 Ge 2.56-2.59
Se (0.4187, 0.7500, 0.1331)  3 Sn 2.69-3.01
Se (0.5813, 0.2500, 0.8669)  3 Sn 2.69-3.01
Se (0.8322, 0.2500, 0.4821)  3 Ge 2.56-2.59
Se (0.8670, 0.7500, 0.1634)  1 Ge 2.36